<A>
A relaxed Pm3SmIn3 crystal. Source: the Alexandria database, functional PBE-GGA.

Unit cell a=7.060 b=10.982 c=10.818 alpha=90.00 beta=90.00 gamma=90.00
Space group Cmmm (No. 65)
Asymmetric unit:
Pm: 0.000 0.000 0.176 x4
Pm: 0.000 0.271 0.500 x4
Pm: 0.000 0.326 0.000 x4
Sm: 0.223 0.000 0.500 x4
In: 0.000 0.500 0.251 x4
In: 0.250 0.250 0.246 x8

---

<B>
A relaxed Pm3SmIn3 crystal. Source: the Alexandria database, functional PBE-GGA.

Unit cell a=9.527 b=9.527 c=9.527 alpha=90.00 beta=90.00 gamma=90.00
Space group P2_13 (No. 198)
Asymmetric unit:
Pm: 0.074 0.426 0.574 x4
Pm: 0.175 0.175 0.175 x4
Pm: 0.175 0.825 0.325 x4
Sm: 0.075 0.575 0.925 x4
In: 0.000 0.251 0.874 x12

---

Stability check: which of them is most stable? <B>.

---

<A>
A relaxed PmSm2In3 crystal. Source: the Alexandria database, functional PBE-GGA.

Unit cell a=5.428 b=16.287 c=7.671 alpha=90.00 beta=90.00 gamma=90.00
Space group Cmmm (No. 65)
Asymmetric unit:
Pm: 0.000 0.167 0.000 x4
Sm: 0.000 0.167 0.500 x4
Sm: 0.000 0.500 0.000 x2
Sm: 0.000 0.500 0.500 x2
In: 0.000 0.000 0.252 x4
In: 0.000 0.334 0.251 x8

---

<B>
A relaxed PmSm2In3 crystal. Source: the Alexandria database, functional PBE-GGA.

Unit cell a=16.310 b=6.568 c=6.565 alpha=90.00 beta=103.89 gamma=90.00
Space group C2/c (No. 15)
Asymmetric unit:
Pm: 0.000 0.133 0.250 x4
Sm: 0.170 0.383 0.588 x8
In: 0.000 0.368 0.750 x4
In: 0.164 0.121 0.047 x8

---

Stability check: which of them is most stable? <A>.

---

<A>
A relaxed Pm2SmIn crystal. Source: the Alexandria database, functional PBE-GGA.

Unit cell a=4.947 b=4.947 c=4.959 alpha=90.00 beta=90.00 gamma=90.00
Space group P4/mmm (No. 123)
Asymmetric unit:
Pm: 0.000 0.500 0.000 x2
Sm: 0.000 0.000 0.500 x1
In: 0.500 0.500 0.500 x1

---

<B>
A relaxed Pm2SmIn crystal. Source: the Alexandria database, functional PBE-GGA.

Unit cell a=3.7088 b=3.7088 c=32.8939 alpha=90.00 beta=90.00 gamma=120.00
Space group R3m (No. 160, hexagonal axes)
Asymmetric unit:
Pm: 0.0000 0.0000 0.0000 x3
Pm: 0.0000 0.0000 0.1799 x3
Sm: 0.0000 0.0000 0.7568 x3
In: 0.0000 0.0000 0.5902 x3

---

Stability check: which of them is most stable? <A>.

---

<A>
A relaxed Pm2SmIn crystal. Source: the Alexandria database, functional PBE-GGA.

Unit cell a=7.880 b=7.880 c=7.880 alpha=90.00 beta=90.00 gamma=90.00
Space group Fm-3m (No. 225)
Asymmetric unit:
Pm: 0.250 0.250 0.250 x8
Sm: 0.000 0.000 0.000 x4
In: 0.000 0.000 0.500 x4

---

<B>
A relaxed Pm2SmIn crystal. Source: the Alexandria database, functional PBE-GGA.

Unit cell a=3.640 b=3.640 c=9.512 alpha=90.00 beta=90.00 gamma=90.00
Space group P4/mmm (No. 123)
Asymmetric unit:
Pm: 0.000 0.000 0.225 x2
Sm: 0.500 0.500 0.500 x1
In: 0.500 0.500 0.000 x1

---

Stability check: which of them is most stable? <B>.